# 1
KRu2Pb after structural relaxation. Source: Alexandria via LeMat-Bulk, functional PBE.

Unit cell a=4.904 b=2.982 c=6.705 alpha=83.72 beta=90.00 gamma=90.00
Fractional coordinates of all 4 atoms:
Ru 0.000 0.519 0.593
Ru 0.000 0.981 0.907
K 0.500 0.250 0.250
Pb 0.500 0.750 0.750

Formation energy ... 0.96 eV per atom

=====

# 2
KRu2Pb after structural relaxation. Source: Alexandria via LeMat-Bulk, functional PBE.

Unit cell a=3.001 b=4.490 c=7.123 alpha=90.00 beta=90.00 gamma=90.00
Fractional coordinates of all 4 atoms:
Ru 0.000 0.000 0.914
Ru 0.000 0.000 0.586
K 0.500 0.500 0.250
Pb 0.500 0.500 0.750

Formation energy ... 0.90 eV per atom

=====

# 3
K3RuPb after structural relaxation. Source: Alexandria via LeMat-Bulk, functional PBE.

Unit cell a=5.827 b=5.827 c=5.827 alpha=90.00 beta=90.00 gamma=90.00
Fractional coordinates of all 5 atoms:
Pb 0.500 0.500 0.500
Ru 0.000 0.000 0.000
K 0.000 0.000 0.500
K 0.000 0.500 0.000
K 0.500 0.000 0.000

Formation energy ... 1.09 eV per atom

=====

# 4
KRuPb after structural relaxation. Source: Alexandria via LeMat-Bulk, functional PBE.

Unit cell a=3.478 b=3.478 c=7.535 alpha=90.00 beta=90.00 gamma=120.00
Fractional coordinates of all 3 atoms:
Pb 0.667 0.333 0.391
Ru 0.333 0.667 0.635
K 0.000 0.000 0.975

Formation energy ... 0.69 eV per atom

=====

# 5
KRu2Pb after structural relaxation. Source: Alexandria via LeMat-Bulk, functional PBE.

Unit cell a=5.500 b=5.500 c=6.684 alpha=72.74 beta=72.74 gamma=32.68
Fractional coordinates of all 4 atoms:
Ru 0.530 0.530 0.377
Ru 0.970 0.970 0.123
Pb 0.250 0.250 0.250
K 0.750 0.750 0.750

Formation energy ... 0.83 eV per atom

=====

# 6
KRuPb2Se after structural relaxation. Source: Alexandria via LeMat-Bulk, functional PBE.

Unit cell a=5.872 b=5.390 c=5.872 alpha=90.00 beta=90.00 gamma=90.00
Fractional coordinates of all 5 atoms:
Pb 0.000 0.000 0.500
Pb 0.500 0.000 0.000
Ru 0.500 0.500 0.500
K 0.000 0.000 0.000
Se 0.000 0.500 0.000

Raw formation energy ... 1.6046 eV/atom

=====

# 7
KSr2RuPb after structural relaxation. Source: Alexandria via LeMat-Bulk, functional PBE.

Unit cell a=6.109 b=4.636 c=6.109 alpha=90.00 beta=90.00 gamma=90.00
Fractional coordinates of all 5 atoms:
Sr 0.500 0.000 0.000
Sr 0.000 0.000 0.500
Pb 0.500 0.500 0.500
Ru 0.000 0.500 0.000
K 0.000 0.000 0.000

Formation energy ... 1.07 eV per atom

=====

# 8
KTa2RuPb after structural relaxation. Source: Alexandria via LeMat-Bulk, functional PBE.

Unit cell a=4.862 b=4.694 c=4.862 alpha=90.00 beta=90.00 gamma=90.00
Fractional coordinates of all 5 atoms:
Ta 0.000 0.000 0.500
Ta 0.500 0.000 0.000
K 0.000 0.000 0.000
Ru 0.000 0.500 0.000
Pb 0.500 0.500 0.500

Formation energy ... 2.77 eV per atom

=====

For each record above, in turn, the calculated final energy values are -0.3589 -0.3634 -0.1593 -0.2940 -0.3679 -0.1948 -0.1777 -0.3520 Ry per atom.